A relaxed structure of Ba3V4O13, computed with PBE with a Hubbard U.

a b c (Å): 9.2354 9.2354 10.4544
angles (deg): 107.40 107.40 58.96
With the nearest neighbours (Å) after each atom.
Fractional coordinates of all 40 atoms:
Ba1 0.0227 0.3795 0.6868  8 O 2.77-3.03
Ba2 0.0977 0.9023 0.7500  7 O 2.71-3.01
Ba3 0.3795 0.0227 0.1868  8 O 2.77-3.03
Ba4 0.6205 0.9773 0.8132  8 O 2.77-3.03
Ba5 0.9023 0.0977 0.2500  7 O 2.71-3.01
Ba6 0.9773 0.6205 0.3132  8 O 2.77-3.03
V1 0.1062 0.7172 0.0063  4 O 1.71-1.84
V2 0.2828 0.8938 0.4937  4 O 1.71-1.84
V3 0.3637 0.4170 0.6399  4 O 1.68-1.83
V4 0.4170 0.3637 0.1399  4 O 1.68-1.83
V5 0.5830 0.6363 0.8601  4 O 1.68-1.83
V6 0.6363 0.5830 0.3601  4 O 1.68-1.83
V7 0.7172 0.1062 0.5063  4 O 1.71-1.84
V8 0.8938 0.2828 0.9937  4 O 1.71-1.84
O1 0.0022 0.2850 0.1590  1 V 1.72
O2 0.0269 0.2260 0.8826  1 V 1.72
O3 0.1361 0.8206 0.4575  1 V 1.71
O4 0.1564 0.5173 0.5642  1 V 1.69
O5 0.1794 0.8639 0.0425  1 V 1.71
O6 0.2260 0.0269 0.3826  1 V 1.72
O7 0.2850 0.0022 0.6590  1 V 1.72
O8 0.2890 0.5013 0.0176  2 V 1.78-1.84
O9 0.2909 0.3749 0.2338  1 V 1.68
O10 0.3749 0.2909 0.7338  1 V 1.68
O11 0.4138 0.5862 0.7500  2 V 1.83
O12 0.4827 0.8436 0.9358  1 V 1.69
O13 0.4987 0.7110 0.4824  2 V 1.78-1.84
O14 0.5013 0.2890 0.5176  2 V 1.78-1.84
O15 0.5173 0.1564 0.0642  1 V 1.69
O16 0.5862 0.4138 0.2500  2 V 1.83
O17 0.6251 0.7091 0.2662  1 V 1.68
O18 0.7091 0.6251 0.7662  1 V 1.68
O19 0.7110 0.4987 0.9824  2 V 1.78-1.84
O20 0.7150 0.9978 0.3410  1 V 1.72
O21 0.7740 0.9731 0.6174  1 V 1.72
O22 0.8206 0.1361 0.9575  1 V 1.71
O23 0.8436 0.4827 0.4358  1 V 1.69
O24 0.8639 0.1794 0.5425  1 V 1.71
O25 0.9731 0.7740 0.1174  1 V 1.72
O26 0.9978 0.7150 0.8410  1 V 1.72

Results
Final energy (eV/atom): -7.37
Space group: C2/c (15)
Total moment (μB/f.u.): 0.0
Volume (Å³/f.u.): 358.76
DOS(E_F) (states/eV/cell): 0.00